1.
This record from Alexandria describes crystalline PaBRh at its relaxed geometry. The functional is GGA-PBE.

Cell lengths 9.7140, 3.8278, 6.8670 Å; angles 90.00, 134.79, 90.00 degrees
Space group C2/m (No. 12)
One atom of each set of equivalent atoms:
Pa1 0.0861 0.0000 0.3238 [4 per cell]
B1 0.1199 0.5000 0.6618 [4 per cell]
Rh1 0.2076 0.5000 0.1007 [4 per cell]

Output
Energy of formation   -0.51 eV/atom
Offset from the most stable computed form   0.00 eV per formula unit

2.
This record from Alexandria describes crystalline Pa2BRh6 at its relaxed geometry. The functional is GGA-PBE.

Cell lengths 4.9996, 4.9996, 13.1206 Å; angles 90.00, 90.00, 90.00 degrees
Space group P4_2/mnm (No. 136)
One atom of each set of equivalent atoms:
Pa1 0.0000 0.0000 0.2070 [4 per cell]
B1 0.0000 0.0000 0.5000 [2 per cell]
Rh1 0.2085 0.2085 0.3849 [8 per cell]
Rh2 0.2121 0.2121 0.0000 [4 per cell]

Output
Energy of formation   -0.25 eV/atom
Offset from the most stable computed form   6.17 eV per formula unit

3.
This record from Alexandria describes crystalline PaB4Rh at its relaxed geometry. The functional is GGA-PBE.

Cell lengths 7.4122, 9.4423, 3.5966 Å; angles 90.00, 90.00, 90.00 degrees
Space group Cmmm (No. 65)
One atom of each set of equivalent atoms:
Pa1 0.0000 0.1991 0.0000 [4 per cell]
B1 0.0000 0.4077 0.5000 [4 per cell]
B2 0.1189 0.0000 0.5000 [4 per cell]
B3 0.2251 0.3413 0.5000 [8 per cell]
Rh1 0.1828 0.5000 0.0000 [4 per cell]

Output
Energy of formation   -0.59 eV/atom

4.
This record from Alexandria describes crystalline PaB2Rh7 at its relaxed geometry. The functional is GGA-PBE.

Cell lengths 3.8881, 3.8881, 18.6707 Å; angles 90.00, 90.00, 90.00 degrees
Space group I4/mmm (No. 139)
One atom of each set of equivalent atoms:
Pa1 0.0000 0.0000 0.0000 [2 per cell]
B1 0.0000 0.0000 0.3118 [4 per cell]
Rh1 0.0000 0.0000 0.5000 [2 per cell]
Rh2 0.0000 0.5000 0.1107 [8 per cell]
Rh3 0.0000 0.5000 0.2500 [4 per cell]

Output
Energy of formation   -0.37 eV/atom

5.
This record from Alexandria describes crystalline Pa2B3Rh at its relaxed geometry. The functional is GGA-PBE.

Cell lengths 7.2401, 7.6443, 12.5318 Å; angles 90.00, 90.00, 90.00 degrees
Space group Fmmm (No. 69)
One atom of each set of equivalent atoms:
Pa1 0.0000 0.2415 0.0000 [8 per cell]
Pa2 0.2500 0.2500 0.2500 [8 per cell]
B1 0.0000 0.0000 0.3581 [8 per cell]
B2 0.2161 0.0000 0.4279 [16 per cell]
Rh1 0.0000 0.0000 0.1707 [8 per cell]

Output
Energy of formation   -0.56 eV/atom

6.
This record from Alexandria describes crystalline PaBRh at its relaxed geometry. The functional is GGA-PBE.

Cell lengths 4.1061, 15.0690, 3.2830 Å; angles 90.00, 90.00, 90.00 degrees
Space group Cmcm (No. 63)
One atom of each set of equivalent atoms:
Pa1 0.0000 0.0954 0.2500 [4 per cell]
B1 0.0000 0.4834 0.2500 [4 per cell]
Rh1 0.0000 0.2257 0.7500 [4 per cell]

Output
Energy of formation   -0.39 eV/atom
Offset from the most stable computed form   0.35 eV per formula unit

7.
This record from Alexandria describes crystalline PaBRh2 at its relaxed geometry. The functional is GGA-PBE.

Cell lengths 3.8161, 3.8161, 15.0183 Å; angles 90.00, 90.00, 120.00 degrees
Space group R-3m (No. 166, hexagonal axes)
One atom of each set of equivalent atoms:
Pa1 0.0000 0.0000 0.0000 [3 per cell]
B1 0.0000 0.0000 0.5000 [3 per cell]
Rh1 0.0000 0.0000 0.2192 [6 per cell]

Output
Energy of formation   -0.46 eV/atom
Offset from the most stable computed form   0.48 eV per formula unit

8.
This record from Alexandria describes crystalline PaBRh3 at its relaxed geometry. The functional is GGA-PBE.

Cell lengths 4.2408, 4.2408, 4.2408 Å; angles 90.00, 90.00, 90.00 degrees
Space group Pm-3m (No. 221)
One atom of each set of equivalent atoms:
Pa1 0.0000 0.0000 0.0000 [1 per cell]
B1 0.5000 0.5000 0.5000 [1 per cell]
Rh1 0.0000 0.5000 0.5000 [3 per cell]

Output
Energy of formation   -0.70 eV/atom
Offset from the most stable computed form   0.00 eV per formula unit